PbWIO2 (PBE with a Hubbard U, optimized geometry); energy above the most stable polymorph in this dataset = 0.0 meV/atom; density of states at the Fermi level = 1.964 states/eV/cell; space-group type = P4/mmm (123); total magnetic moment = 2.72 μB/f.u.; total DFT energy (no corrections) = -24.9 eV for the cell shown
1.0
-2.2971 -3.5187 0.6915
3.5527 -2.1215 1.0064
-0.6686 1.5372 5.6005
W O Pb I
1 2 1 1
Cartesian
0.0000 0.0000 0.0000 W
1.7764 -1.0608 0.5032 O
-1.1485 -1.7593 0.3458 O
0.2935 -2.0515 3.6492 Pb
-0.3343 0.7686 2.8003 I